No. 1
Crystalline Dy2Ho4TmSc at its relaxed geometry, computed with PBE-GGA.

Computed properties:
* ΔE_f: 3 kJ per mole of atoms
* size of the total moment: 0.000 μB/atom

Unit cell a=4.943 b=4.943 c=9.849 alpha=90.00 beta=90.00 gamma=90.00
Space group P4/mmm (No. 123)
Asymmetric unit:
1 Dy 0.000 0.000 0.000 [1 per cell]
2 Dy 0.500 0.500 0.500 [1 per cell]
3 Ho 0.000 0.500 0.246 [4 per cell]
4 Tm 0.000 0.000 0.500 [1 per cell]
5 Sc 0.500 0.500 0.000 [1 per cell]

***

No. 2
Crystalline DyHo2Tm2Sc at its relaxed geometry, computed with PBE-GGA.

Computed properties:
* ΔE_f: 10 kJ per mole of atoms
* size of the total moment: 0.000 μB/atom

Unit cell a=6.845 b=9.474 c=5.473 alpha=90.00 beta=90.00 gamma=90.00
Space group Pnnm (No. 58)
Asymmetric unit:
1 Dy 0.000 0.000 0.000 [2 per cell]
2 Ho 0.247 0.333 0.000 [4 per cell]
3 Tm 0.249 0.666 0.000 [4 per cell]
4 Sc 0.000 0.500 0.500 [2 per cell]

***

No. 3
Crystalline Dy4HoTmSc2 at its relaxed geometry, computed with PBE-GGA.

Computed properties:
* ΔE_f: 4 kJ per mole of atoms
* size of the total moment: 0.000 μB/atom

Unit cell a=4.922 b=4.922 c=9.689 alpha=90.00 beta=90.00 gamma=90.00
Space group P4/mmm (No. 123)
Asymmetric unit:
1 Dy 0.000 0.500 0.250 [4 per cell]
2 Ho 0.000 0.000 0.000 [1 per cell]
3 Tm 0.500 0.500 0.500 [1 per cell]
4 Sc 0.000 0.000 0.500 [1 per cell]
5 Sc 0.500 0.500 0.000 [1 per cell]

***

No. 4
Crystalline Dy3Ho6Tm2Sc at its relaxed geometry, computed with PBE-GGA.

Computed properties:
* ΔE_f: 3 kJ per mole of atoms
* size of the total moment: 0.000 μB/atom

Unit cell a=6.070 b=10.501 c=11.595 alpha=90.00 beta=100.02 gamma=90.00
Space group C2/m (No. 12)
Asymmetric unit:
1 Dy 0.000 0.000 0.000 [2 per cell]
2 Dy 0.000 0.333 0.000 [4 per cell]
3 Ho 0.247 0.334 0.746 [8 per cell]
4 Ho 0.250 0.000 0.747 [4 per cell]
5 Tm 0.000 0.167 0.500 [4 per cell]
6 Sc 0.000 0.500 0.500 [2 per cell]

***

No. 5
Crystalline Dy5Ho2TmSc at its relaxed geometry, computed with PBE-GGA.

Computed properties:
* ΔE_f: 16 kJ per mole of atoms
* size of the total moment: 0.000 μB/atom

Unit cell a=5.487 b=19.893 c=10.297 alpha=90.00 beta=90.00 gamma=90.00
Space group Cmc2_1 (No. 36)
Asymmetric unit:
1 Dy 0.000 0.017 0.000 [4 per cell]
2 Dy 0.000 0.125 0.280 [4 per cell]
3 Dy 0.000 0.200 0.964 [4 per cell]
4 Dy 0.000 0.225 0.580 [4 per cell]
5 Dy 0.000 0.483 0.275 [4 per cell]
6 Ho 0.000 0.386 0.996 [4 per cell]
7 Ho 0.000 0.389 0.570 [4 per cell]
8 Tm 0.000 0.093 0.717 [4 per cell]
9 Sc 0.000 0.305 0.274 [4 per cell]

***

No. 6
Crystalline DyHo6Tm2Sc at its relaxed geometry, computed with PBE-GGA.

Computed properties:
* ΔE_f: 12 kJ per mole of atoms
* size of the total moment: 0.000 μB/atom

Unit cell a=8.977 b=14.717 c=9.327 alpha=90.00 beta=97.10 gamma=90.00
Space group C2/c (No. 15)
Asymmetric unit:
1 Dy 0.000 0.024 0.250 [4 per cell]
2 Ho 0.060 0.186 0.945 [8 per cell]
3 Ho 0.100 0.393 0.116 [8 per cell]
4 Ho 0.215 0.222 0.312 [8 per cell]
5 Tm 0.247 0.448 0.452 [8 per cell]
6 Sc 0.000 0.413 0.750 [4 per cell]

***

No. 7
Crystalline Dy2HoTmSc at its relaxed geometry, computed with PBE-GGA.

Computed properties:
* ΔE_f: 36 kJ per mole of atoms
* size of the total moment: 0.000 μB/atom

Unit cell a=8.116 b=11.127 c=7.046 alpha=90.00 beta=90.00 gamma=90.00
Space group Cmcm (No. 63)
Asymmetric unit:
1 Dy 0.198 0.000 0.000 [8 per cell]
2 Ho 0.000 0.232 0.250 [4 per cell]
3 Tm 0.000 0.229 0.750 [4 per cell]
4 Sc 0.000 0.499 0.750 [4 per cell]

***

No. 8
Crystalline DyHo2Tm2Sc2 at its relaxed geometry, computed with PBE-GGA.

Computed properties:
* ΔE_f: 10 kJ per mole of atoms
* size of the total moment: 0.000 μB/atom

Unit cell a=11.190 b=3.393 c=11.430 alpha=90.00 beta=108.72 gamma=90.00
Space group C2/m (No. 12)
Asymmetric unit:
1 Dy 0.000 0.000 0.000 [2 per cell]
2 Ho 0.171 0.500 0.587 [4 per cell]
3 Tm 0.048 0.500 0.269 [4 per cell]
4 Sc 0.227 0.000 0.865 [4 per cell]

***

No. 9
Crystalline Dy4HoTm2Sc at its relaxed geometry, computed with PBE-GGA.

Computed properties:
* ΔE_f: 3 kJ per mole of atoms
* size of the total moment: 0.000 μB/atom

Unit cell a=4.943 b=4.943 c=9.847 alpha=90.00 beta=90.00 gamma=90.00
Space group P4/mmm (No. 123)
Asymmetric unit:
1 Dy 0.000 0.500 0.245 [4 per cell]
2 Ho 0.000 0.000 0.500 [1 per cell]
3 Tm 0.000 0.000 0.000 [1 per cell]
4 Tm 0.500 0.500 0.500 [1 per cell]
5 Sc 0.500 0.500 0.000 [1 per cell]

***

No. 10
Crystalline Dy2Ho5TmSc at its relaxed geometry, computed with PBE-GGA.

Computed properties:
* ΔE_f: 16 kJ per mole of atoms
* size of the total moment: 0.000 μB/atom

Unit cell a=5.482 b=19.837 c=10.278 alpha=90.00 beta=90.00 gamma=90.00
Space group Cmc2_1 (No. 36)
Asymmetric unit:
1 Dy 0.000 0.111 0.000 [4 per cell]
2 Dy 0.000 0.114 0.575 [4 per cell]
3 Ho 0.000 0.017 0.296 [4 per cell]
4 Ho 0.000 0.275 0.992 [4 per cell]
5 Ho 0.000 0.300 0.608 [4 per cell]
6 Ho 0.000 0.376 0.291 [4 per cell]
7 Ho 0.000 0.483 0.572 [4 per cell]
8 Tm 0.000 0.408 0.855 [4 per cell]
9 Sc 0.000 0.195 0.297 [4 per cell]

***

No. 11
Crystalline DyYHo6Sc2 at its relaxed geometry, computed with PBE-GGA.

Computed properties:
* ΔE_f: 12 kJ per mole of atoms
* size of the total moment: 0.000 μB/atom

Unit cell a=8.886 b=14.748 c=9.324 alpha=90.00 beta=96.77 gamma=90.00
Space group C2/c (No. 15)
Asymmetric unit:
1 Dy 0.000 0.092 0.250 [4 per cell]
2 Y 0.000 0.475 0.750 [4 per cell]
3 Ho 0.061 0.317 0.446 [8 per cell]
4 Ho 0.102 0.104 0.618 [8 per cell]
5 Ho 0.208 0.272 0.818 [8 per cell]
6 Sc 0.249 0.055 0.954 [8 per cell]

***

No. 12
Crystalline DyY5HoSc2 at its relaxed geometry, computed with PBE-GGA.

Computed properties:
* ΔE_f: 16 kJ per mole of atoms
* size of the total moment: 0.000 μB/atom

Unit cell a=5.604 b=21.356 c=9.374 alpha=90.00 beta=90.00 gamma=90.00
Space group Cmc2_1 (No. 36)
Asymmetric unit:
1 Dy 0.000 0.184 0.000 [4 per cell]
2 Y 0.000 0.011 0.995 [4 per cell]
3 Y 0.000 0.264 0.318 [4 per cell]
4 Y 0.000 0.306 0.698 [4 per cell]
5 Y 0.000 0.388 0.028 [4 per cell]
6 Y 0.000 0.469 0.730 [4 per cell]
7 Ho 0.000 0.401 0.402 [4 per cell]
8 Sc 0.000 0.113 0.306 [4 per cell]
9 Sc 0.000 0.134 0.685 [4 per cell]